Compound: CoTcSb2
Source: the Alexandria database
Functional: meta-GGA SCAN
Structure: PBEsol geometry

Lattice parameters (Å, degrees): 3.0375 3.0375 9.9023 81.18 81.18 60.00
Each line ends with the local moment (μB).
Fractional positions:
1 Co 0.2409 0.2409 0.2773  1.65
2 Sb 0.7723 0.7723 0.6830  -0.01
3 Sb 0.9751 0.9751 0.0746  -0.02
4 Tc 0.5116 0.5116 0.4651  0.52

Results
* D(E_F): 3.6 states/eV/f.u.
* M_tot: 2.093 Bohr magnetons per cell
* E above lowest polymorph: 0.72 eV per formula unit